1.
VASP calculation (PBE) on a relaxed Pm12Ni6Au crystal.

Cell lengths 8.567, 8.567, 8.567 Å; angles 109.47, 109.47, 109.47 degrees
Atoms (fractional coordinates):
Pm (0.117, 0.815, 0.303)
Pm (0.185, 0.303, 0.488)
Pm (0.185, 0.697, 0.883)
Pm (0.303, 0.117, 0.815)
Pm (0.303, 0.488, 0.185)
Pm (0.488, 0.185, 0.303)
Pm (0.512, 0.815, 0.697)
Pm (0.697, 0.512, 0.815)
Pm (0.697, 0.883, 0.185)
Pm (0.815, 0.303, 0.117)
Pm (0.815, 0.697, 0.512)
Pm (0.883, 0.185, 0.697)
Ni (0.123, 0.623, 0.500)
Ni (0.377, 0.500, 0.877)
Ni (0.500, 0.123, 0.623)
Ni (0.500, 0.877, 0.377)
Ni (0.623, 0.500, 0.123)
Ni (0.877, 0.377, 0.500)
Au (0.000, 0.000, 0.000)

Values from the calculation:
Calculated formation energy (eV per atom): -0.299
Energy above the most stable polymorph in this dataset (eV per atom): 0.000
Calculated volume (Å³/atom): 25.47
Energy (eV per atom): -5.2978
Space-group type: Im-3 (204)
Total moment (μB per formula unit): 0.00

***

2.
VASP calculation (PBE) on a relaxed CaTaBr2 crystal.

Cell lengths 3.275, 4.643, 6.467 Å; angles 90.00, 90.00, 90.00 degrees
Atoms (fractional coordinates):
Ca (0.000, 0.000, 0.000)
Ta (0.500, 0.000, 0.500)
Br (0.000, 0.500, 0.500)
Br (0.500, 0.500, 0.000)

Values from the calculation:
Energy above the most stable polymorph in this dataset (eV per atom): 0.384
Formation energy from raw total energies (eV/atom): -0.032
Calculated volume (Å³/atom): 24.58
Energy (eV per atom): -4.3316
Space-group type: Pmmm (47)
Total moment (μB per formula unit): 0.00

***

3.
VASP calculation (PBE) on a relaxed EuEr2Fe crystal.

Cell lengths 3.355, 3.355, 9.340 Å; angles 90.00, 90.00, 90.00 degrees
Atoms (fractional coordinates):
Eu (0.000, 0.000, 0.000)
Er (0.500, 0.500, 0.331)
Er (0.500, 0.500, 0.669)
Fe (0.000, 0.000, 0.500)

Values from the calculation:
Calculated formation energy (eV per atom): 0.060
Energy above the most stable polymorph in this dataset (eV per atom): 0.000
Calculated volume (Å³/atom): 26.29
Energy (eV per atom): -6.9060
Space-group type: P4/mmm (123)
Total moment (μB per formula unit): 7.55